CaSc2BiC | PBE | relaxed

Lattice parameters (Å, degrees): 4.593 4.593 5.011 90.00 90.00 90.00
Sites, in units of the cell vectors:
Ca 0.000 0.000 0.000
Sc 0.000 0.500 0.500
Sc 0.500 0.000 0.500
Bi 0.500 0.500 0.000
C 0.000 0.000 0.500

E: -0.2243 Ha/atom
energy above the lowest structure with this stoichiometry: 0.000 eV per atom
total magnetization: 0.000 μB per formula unit
energy of formation from the pure elements: -0.550 eV per atom